Record 1
VASP calculation (PBE) on a relaxed Si3Hg5 crystal.

Properties
Formation energy without anion corrections (eV per atom): 0.4466
Crystal system: hexagonal

Lattice parameters (Å, degrees): 9.1272 9.1272 5.3990 90.00 90.00 120.00
Space group P6_3/mcm (No. 193)
Unique sites:
Si 0.0000 0.4786 0.2500
Hg 0.0000 0.1949 0.2500
Hg 0.3333 0.6667 0.0000

Record 2
VASP calculation (PBE) on a relaxed SrCoP2 crystal.

Properties
Crystal system: orthorhombic

Lattice parameters (Å, degrees): 3.989 6.192 6.525 90.00 90.00 90.00
Space group Cmmm (No. 65)
Unique sites:
Sr 0.000 0.000 0.000
Co 0.000 0.000 0.500
P 0.000 0.500 0.329

The following distance to the lowest polymorph of the same formula values (in meV per atom) correspond, in order, to the records above: 64; 442.
The following VASP energy values (in eV per cell) correspond, in order, to the records above: -28.4; -41.0.